# LiAlNi PBE-GGA optimized geometry
data_LiAlNi
_space_group_name_H-M_alt 'I 4 m m'
_space_group_IT_number 107
_space_group_name_Hall 'I 4 -2'
_cell_length_a 2.9823
_cell_length_b 2.9823
_cell_length_c 8.5187
_cell_angle_alpha 90.00
_cell_angle_beta 90.00
_cell_angle_gamma 90.00
loop_
_atom_site_label
_atom_site_type_symbol
_atom_site_fract_x
_atom_site_fract_y
_atom_site_fract_z
Li1 Li 0.0000 0.0000 0.0000
Al1 Al 0.0000 0.0000 0.6897
Ni1 Ni 0.0000 0.0000 0.3380
# - V: 76 Å³/cell
# - DOS at the Fermi energy: 2.6 states/eV per cell
# - Formation energy from the elements: -0.294 eV/atom

=====

# CaSbN2F PBE-GGA optimized geometry
data_CaSbN2F
_space_group_name_H-M_alt 'P 4/m m m'
_space_group_IT_number 123
_space_group_name_Hall '-P 4 2'
_cell_length_a 4.1162
_cell_length_b 4.1162
_cell_length_c 4.2556
_cell_angle_alpha 90.00
_cell_angle_beta 90.00
_cell_angle_gamma 90.00
loop_
_atom_site_label
_atom_site_type_symbol
_atom_site_fract_x
_atom_site_fract_y
_atom_site_fract_z
Ca1 Ca 0.0000 0.0000 0.0000
Sb1 Sb 0.5000 0.5000 0.5000
N1 N 0.0000 0.5000 0.5000
F1 F 0.5000 0.5000 0.0000
# - Polymorph energy (0 for the lowest one): 0 meV/atom
# - Formation energy without anion corrections: -0.53 eV/atom
# - V: 72 Å³/cell
# - DOS at the Fermi energy: 1.3 states/eV per cell

=====

# Ti2Be3Si PBE-GGA optimized geometry
data_Ti2Be3Si
_space_group_name_H-M_alt 'F m m m'
_space_group_IT_number 69
_space_group_name_Hall '-F 2 2'
_cell_length_a 5.8410
_cell_length_b 7.5036
_cell_length_c 13.0063
_cell_angle_alpha 90.00
_cell_angle_beta 90.00
_cell_angle_gamma 90.00
loop_
_atom_site_label
_atom_site_type_symbol
_atom_site_fract_x
_atom_site_fract_y
_atom_site_fract_z
Ti1 Ti 0.2465 0.0000 0.0000
Ti2 Ti 0.2500 0.2500 0.2500
Be1 Be 0.0000 0.0000 0.1635
Be2 Be 0.0000 0.2448 0.0814
Si1 Si 0.0000 0.0000 0.3344
# - Formation energy without anion corrections: -0.41 eV/atom
# - V: 570 Å³/cell
# - DOS at the Fermi energy: 21.9 states/eV per cell

=====

# Tb2CuSn2 PBE-GGA optimized geometry
data_Tb2CuSn2
_space_group_name_H-M_alt 'C 1 2/m 1'
_space_group_IT_number 12
_space_group_name_Hall '-C 2y'
_cell_length_a 11.1566
_cell_length_b 4.4731
_cell_length_c 10.9019
_cell_angle_alpha 90.00
_cell_angle_beta 116.95
_cell_angle_gamma 90.00
loop_
_atom_site_label
_atom_site_type_symbol
_atom_site_fract_x
_atom_site_fract_y
_atom_site_fract_z
Tb1 Tb 0.0045 0.0000 0.3309
Tb2 Tb 0.1832 0.0000 0.1075
Cu1 Cu 0.2105 0.5000 0.3397
Sn1 Sn 0.0313 0.5000 0.8813
Sn2 Sn 0.1563 0.5000 0.5668
# - V: 485 Å³/cell
# - DOS at the Fermi energy: 14.9 states/eV per cell
# - Formation energy from the elements: -0.616 eV/atom

=====

# KIn4Ga PBE-GGA optimized geometry
data_KIn4Ga
_space_group_name_H-M_alt 'C m c m'
_space_group_IT_number 63
_space_group_name_Hall '-C 2c 2'
_cell_length_a 4.7141
_cell_length_b 18.2783
_cell_length_c 7.9333
_cell_angle_alpha 90.00
_cell_angle_beta 90.00
_cell_angle_gamma 90.00
loop_
_atom_site_label
_atom_site_type_symbol
_atom_site_fract_x
_atom_site_fract_y
_atom_site_fract_z
K1 K 0.0000 0.1240 0.2500
In1 In 0.0000 0.0665 0.7500
In2 In 0.0000 0.3236 0.0522
In3 In 0.0000 0.5000 0.0000
Ga1 Ga 0.0000 0.2274 0.7500
# - Polymorph energy (0 for the lowest one): 0 meV/atom
# - V: 684 Å³/cell
# - DOS at the Fermi energy: 7.8 states/eV per cell
# - Formation energy from the elements: -0.075 eV/atom

=====

# TbIn5 PBE-GGA optimized geometry
data_TbIn5
_space_group_name_H-M_alt 'C m m m'
_space_group_IT_number 65
_space_group_name_Hall '-C 2 2'
_cell_length_a 4.6240
_cell_length_b 14.5286
_cell_length_c 4.6110
_cell_angle_alpha 90.00
_cell_angle_beta 90.00
_cell_angle_gamma 90.00
loop_
_atom_site_label
_atom_site_type_symbol
_atom_site_fract_x
_atom_site_fract_y
_atom_site_fract_z
Tb1 Tb 0.0000 0.0000 0.0000
In1 In 0.0000 0.1679 0.5000
In2 In 0.0000 0.3355 0.0000
In3 In 0.0000 0.5000 0.5000
# - Polymorph energy (0 for the lowest one): 9 meV/atom
# - V: 310 Å³/cell
# - DOS at the Fermi energy: 7.1 states/eV per cell
# - Formation energy from the elements: -0.204 eV/atom

=====

# ScH11Rh5 PBE-GGA optimized geometry
data_ScH11Rh5
_space_group_name_H-M_alt 'C 1 2/m 1'
_space_group_IT_number 12
_space_group_name_Hall '-C 2y'
_cell_length_a 7.0209
_cell_length_b 7.7639
_cell_length_c 5.3381
_cell_angle_alpha 90.00
_cell_angle_beta 106.31
_cell_angle_gamma 90.00
loop_
_atom_site_label
_atom_site_type_symbol
_atom_site_fract_x
_atom_site_fract_y
_atom_site_fract_z
Sc1 Sc 0.0000 0.0000 0.0000
H1 H 0.0000 0.0000 0.5000
H2 H 0.0931 0.2465 0.3580
H3 H 0.1914 0.5000 0.3126
H4 H 0.1938 0.3696 0.9352
Rh1 Rh 0.0000 0.5000 0.0000
Rh2 Rh 0.1666 0.1938 0.7160
# - V: 279 Å³/cell
# - DOS at the Fermi energy: 7.2 states/eV per cell
# - Electronic total energy: -4.77 eV per atom

=====

# BaTa3Si PBE-GGA optimized geometry
data_BaTa3Si
_space_group_name_H-M_alt 'P m -3 m'
_space_group_IT_number 221
_space_group_name_Hall '-P 4 2 3'
_cell_length_a 5.0724
_cell_length_b 5.0724
_cell_length_c 5.0724
_cell_angle_alpha 90.00
_cell_angle_beta 90.00
_cell_angle_gamma 90.00
loop_
_atom_site_label
_atom_site_type_symbol
_atom_site_fract_x
_atom_site_fract_y
_atom_site_fract_z
Ba1 Ba 0.0000 0.0000 0.0000
Ta1 Ta 0.0000 0.0000 0.5000
Si1 Si 0.5000 0.5000 0.5000
# - Polymorph energy (0 for the lowest one): 2150 meV/atom
# - Formation energy without anion corrections: 3.18 eV/atom
# - V: 131 Å³/cell
# - DOS at the Fermi energy: 7.0 states/eV per cell